(1)
The following is a PBE-GGA calculation of an optimized crystal structure of Be2AsPt, from Alexandria via LeMat-Bulk.

ΔH_f (0 K)	3.3	kJ per mole of atoms

Cell lengths 4.5350, 4.8556, 2.9975 Å; angles 70.35, 93.39, 119.03 degrees
Atoms (fractional coordinates):
Pt1 0.0000 0.5000 0.5000
Be1 0.0000 0.0000 0.0000
As1 0.5000 0.5000 0.0000
Be2 0.5000 0.0000 0.5000

=====

(2)
The following is a PBE-GGA calculation of an optimized crystal structure of LiPrZr, from Alexandria via LeMat-Bulk.

ΔH_f (0 K)	19.5	kJ per mole of atoms

Cell lengths 3.3989, 3.3989, 7.1851 Å; angles 103.68, 103.68, 90.00 degrees
Atoms (fractional coordinates):
Pr1 0.0038 0.0038 0.0076
Li1 0.3226 0.3226 0.6451
Zr1 0.6736 0.6736 0.3473

=====

(3)
The following is a PBE-GGA calculation of an optimized crystal structure of CaYAs2Rh5, from Alexandria via LeMat-Bulk.

ΔH_f (0 K)	-58.4	kJ per mole of atoms

Cell lengths 4.2672, 4.2672, 8.6649 Å; angles 90.00, 90.00, 90.00 degrees
Atoms (fractional coordinates):
Rh1 0.0000 0.5000 0.2692
Ca1 0.0000 0.0000 0.5000
As1 0.5000 0.5000 0.8511
Y1 0.0000 0.0000 0.0000
Rh2 0.0000 0.5000 0.7308
Rh3 0.5000 0.0000 0.2692
Rh4 0.5000 0.0000 0.7308
Rh5 0.5000 0.5000 0.5000
As2 0.5000 0.5000 0.1489

=====

Q: Which of these has the highest ΔH_f (0 K)?
A: LiPrZr